(1)
Density functional theory data (PBE) for a geometry-optimized NdSm2Te3 structure.

Cell: 4.454 4.454 10.942 Å, 90.00 90.00 120.00°
Element x y z (fractional)
Nd1 0.000 0.000 0.000
Sm1 0.333 0.667 0.667
Sm2 0.667 0.333 0.333
Te1 0.000 0.000 0.500
Te2 0.333 0.667 0.170
Te3 0.667 0.333 0.830

The space-group type is P-3m1, No. 164. The spin magnetization is 0.004 μB/f.u. As for the total energy: -32.0 eV per cell.

(2)
Density functional theory data (PBE) for a geometry-optimized NdSmTh structure.

Cell: 7.706 7.706 7.706 Å, 90.00 90.00 90.00°
Element x y z (fractional)
Nd1 0.000 0.000 0.000
Nd2 0.000 0.500 0.500
Nd3 0.500 0.000 0.500
Nd4 0.500 0.500 0.000
Sm1 0.250 0.250 0.250
Sm2 0.250 0.750 0.750
Sm3 0.750 0.250 0.750
Sm4 0.750 0.750 0.250
Th1 0.000 0.000 0.500
Th2 0.000 0.500 0.000
Th3 0.500 0.000 0.000
Th4 0.500 0.500 0.500

The space-group type is F-43m, No. 216. For the formation energy from the elements, the calculation gives 0.7962 eV per atom. As for the offset from the most stable computed form: 0.00 eV per formula unit. The spin magnetization is 1.023 μB/f.u. As for the total energy: -58.0 eV per cell.

(3)
Density functional theory data (PBE) for a geometry-optimized NdSmTl2 structure.

Cell: 3.873 3.873 7.733 Å, 90.00 90.00 90.00°
Element x y z (fractional)
Nd1 0.000 0.000 0.000
Sm1 0.000 0.000 0.500
Tl1 0.500 0.500 0.255
Tl2 0.500 0.500 0.745

The space-group type is P4/mmm, No. 123. The spin magnetization is 0.027 μB/f.u. As for the total energy: -15.8 eV per cell.

(4)
Density functional theory data (PBE) for a geometry-optimized NdSmTl2Zn2 structure.

Cell: 4.743 4.743 7.560 Å, 90.00 90.00 120.00°
Element x y z (fractional)
Nd1 0.000 0.000 0.000
Sm1 0.000 0.000 0.500
Tl1 0.333 0.667 0.777
Tl2 0.667 0.333 0.280
Zn1 0.333 0.667 0.200
Zn2 0.667 0.333 0.697

The space-group type is P3m1, No. 156. The spin magnetization is 0.000 μB/f.u. As for the total energy: -19.0 eV per cell.

(5)
Density functional theory data (PBE) for a geometry-optimized NdSmY structure.

Cell: 7.799 7.799 7.799 Å, 90.00 90.00 90.00°
Element x y z (fractional)
Nd1 0.000 0.000 0.000
Nd2 0.000 0.500 0.500
Nd3 0.500 0.000 0.500
Nd4 0.500 0.500 0.000
Sm1 0.250 0.250 0.250
Sm2 0.250 0.750 0.750
Sm3 0.750 0.250 0.750
Sm4 0.750 0.750 0.250
Y1 0.000 0.000 0.500
Y2 0.000 0.500 0.000
Y3 0.500 0.000 0.000
Y4 0.500 0.500 0.500

The space-group type is F-43m, No. 216. For the formation energy from the elements, the calculation gives 0.7226 eV per atom. As for the offset from the most stable computed form: 0.00 eV per formula unit. The spin magnetization is 0.021 μB/f.u. As for the total energy: -55.1 eV per cell.

(6)
Density functional theory data (PBE) for a geometry-optimized NdSmZn structure.

Cell: 7.154 7.154 7.154 Å, 90.00 90.00 90.00°
Element x y z (fractional)
Nd1 0.000 0.000 0.000
Nd2 0.000 0.500 0.500
Nd3 0.500 0.000 0.500
Nd4 0.500 0.500 0.000
Sm1 0.000 0.000 0.500
Sm2 0.000 0.500 0.000
Sm3 0.500 0.000 0.000
Sm4 0.500 0.500 0.500
Zn1 0.250 0.250 0.250
Zn2 0.250 0.750 0.750
Zn3 0.750 0.250 0.750
Zn4 0.750 0.750 0.250

The space-group type is F-43m, No. 216. For the formation energy from the elements, the calculation gives 0.0265 eV per atom. As for the offset from the most stable computed form: 0.00 eV per formula unit. The spin magnetization is 0.059 μB/f.u. As for the total energy: -42.6 eV per cell.

(7)
Density functional theory data (PBE) for a geometry-optimized NdSmZr structure.

Cell: 7.410 7.410 7.410 Å, 90.00 90.00 90.00°
Element x y z (fractional)
Nd1 0.000 0.000 0.000
Nd2 0.000 0.500 0.500
Nd3 0.500 0.000 0.500
Nd4 0.500 0.500 0.000
Sm1 0.250 0.250 0.250
Sm2 0.250 0.750 0.750
Sm3 0.750 0.250 0.750
Sm4 0.750 0.750 0.250
Zr1 0.000 0.000 0.500
Zr2 0.000 0.500 0.000
Zr3 0.500 0.000 0.000
Zr4 0.500 0.500 0.500

The space-group type is F-43m, No. 216. For the formation energy from the elements, the calculation gives 0.9458 eV per atom. The spin magnetization is 1.763 μB/f.u. As for the total energy: -60.7 eV per cell.

(8)
Density functional theory data (PBE) for a geometry-optimized Nd2Sn structure.

Cell: 9.688 9.688 9.688 Å, 60.00 60.00 60.00°
Element x y z (fractional)
Nd1 0.000 0.000 0.000
Nd2 0.000 0.000 0.500
Nd3 0.000 0.500 0.000
Nd4 0.500 0.000 0.000
Sn1 0.125 0.125 0.125
Sn2 0.875 0.875 0.875

The space-group type is Fd-3m, No. 227. The spin magnetization is 0.987 μB/f.u. As for the total energy: -19.9 eV per cell.

(9)
Density functional theory data (PBE) for a geometry-optimized NdSn structure.

Cell: 6.397 6.397 6.397 Å, 90.00 90.00 90.00°
Element x y z (fractional)
Nd1 0.000 0.000 0.000
Nd2 0.000 0.500 0.500
Nd3 0.500 0.000 0.500
Nd4 0.500 0.500 0.000
Sn1 0.000 0.000 0.500
Sn2 0.000 0.500 0.000
Sn3 0.500 0.000 0.000
Sn4 0.500 0.500 0.500

The space-group type is Fm-3m, No. 225. The spin magnetization is 0.003 μB/f.u. As for the total energy: -39.6 eV per cell.

(10)
Density functional theory data (PBE) for a geometry-optimized NdSn structure.

Cell: 3.645 3.645 5.187 Å, 90.00 90.00 120.00°
Element x y z (fractional)
Nd1 0.000 0.000 0.000
Sn1 0.667 0.333 0.500

The space-group type is P-6m2, No. 187. The spin magnetization is 0.100 μB/f.u. As for the total energy: -9.7 eV per cell.

(11)
Density functional theory data (PBE) for a geometry-optimized NdSn2 structure.

Cell: 10.125 10.125 10.125 Å, 60.00 60.00 60.00°
Element x y z (fractional)
Nd1 0.125 0.125 0.125
Nd2 0.875 0.875 0.875
Sn1 0.000 0.000 0.000
Sn2 0.000 0.000 0.500
Sn3 0.000 0.500 0.000
Sn4 0.500 0.000 0.000

The space-group type is Fd-3m, No. 227. The spin magnetization is 2.037 μB/f.u. As for the total energy: -18.3 eV per cell.

(12)
Density functional theory data (PBE) for a geometry-optimized NdSn structure.

Cell: 7.121 7.121 7.121 Å, 90.00 90.00 90.00°
Element x y z (fractional)
Nd1 0.000 0.000 0.000
Nd2 0.000 0.500 0.500
Nd3 0.500 0.000 0.500
Nd4 0.500 0.500 0.000
Sn1 0.250 0.250 0.750
Sn2 0.250 0.750 0.250
Sn3 0.750 0.250 0.250
Sn4 0.750 0.750 0.750

The space-group type is F-43m, No. 216. The spin magnetization is 0.005 μB/f.u. As for the total energy: -33.5 eV per cell.

Listing density for the structures above in their given order: 7.311; 7.644; 10.067; 9.406; 5.369; 6.532; 6.299; 2.103; 6.671; 7.316; 1.727; 4.836 g/cm³.